# AcAlNi6Ge

An optimized crystal structure of AcAlNi6Ge (PBE, the Alexandria database).

Output
Total magnetic moment: 0.00 μB/atom
Final energy: -5.4088 eV per atom
SG: Imma
V: 140.28 Å³/f.u.
D(E_F): 0.91 states/eV/atom

```
AcAlNi6Ge
1.0
6.872 0.000 0.000
0.000 6.109 0.000
-3.436 -3.055 6.683
Ac Al Ni Ge
2 2 12 2
Cartesian
3.436 1.527 3.032
0.000 1.527 3.651
1.718 -1.527 3.341
-1.718 -1.527 3.341
3.436 4.582 1.726
0.000 1.527 0.413
5.542 -0.280 1.254
1.329 3.335 1.254
1.329 -0.280 1.254
5.542 3.335 1.254
0.000 -1.527 4.957
3.436 1.527 6.269
-2.106 3.335 5.429
2.106 -0.280 5.429
2.106 3.335 5.429
-2.106 -0.280 5.429
3.436 3.055 0.000
3.436 0.000 0.000
```